A geometry-optimized Cu2Os2C structure. Source: Alexandria via LeMat-Bulk, functional GGA-PBEsol.

The value obtained for the density of states at the Fermi level is 5.2 states/eV/cell. The value obtained for the calculated formation energy is 1462 meV/atom.

a = 2.973 Å, b = 2.973 Å, c = 7.091 Å
α = 102.10°, β = 102.10°, γ = 90.00°
Fractional positions:
Os1 0.589 0.589 0.179
Os2 0.411 0.411 0.821
C1 0.000 0.000 0.000
Cu1 0.250 0.750 0.500
Cu2 0.750 0.250 0.500